Below is a geometry-optimized Pm6Pd2Rh structure, with properties calculated at the PBE-GGA level.

Results
- crystal system = monoclinic
- magnetization (μB/f.u.) = 0.00
- V (A^3/atom) = 28.9
- ΔE_f (eV/atom) = -0.516
- raw total energy (eV/atom) = -5.6539

abc: 6.6867 7.4947 12.0962
angles: 90.00 120.86 90.00
Closest atoms and distances in Å follow each position.
Atoms (fractional coordinates):
Pm (0.0953, 0.1850, 0.4317)  1 Rh 2.76, 2 Pd 2.94-3.08
Pm (0.0953, 0.3150, 0.9317)  1 Rh 2.76, 2 Pd 2.94-3.08
Pm (0.2575, 0.6742, 0.4286)  1 Rh 2.81, 2 Pd 2.97-3.03
Pm (0.2575, 0.8258, 0.9286)  1 Rh 2.81, 2 Pd 2.97-3.03
Pm (0.4013, 0.0414, 0.2464)  1 Rh 2.80, 2 Pd 2.95-2.98
Pm (0.4013, 0.4586, 0.7464)  1 Rh 2.80, 2 Pd 2.95-2.98
Pm (0.5987, 0.5414, 0.2536)  1 Rh 2.80, 2 Pd 2.95-2.98
Pm (0.5987, 0.9586, 0.7536)  1 Rh 2.80, 2 Pd 2.95-2.98
Pm (0.7425, 0.1742, 0.0714)  1 Rh 2.81, 2 Pd 2.97-3.03
Pm (0.7425, 0.3258, 0.5714)  1 Rh 2.81, 2 Pd 2.97-3.03
Pm (0.9047, 0.6850, 0.0683)  1 Rh 2.76, 2 Pd 2.94-3.08
Pm (0.9047, 0.8150, 0.5683)  1 Rh 2.76, 2 Pd 2.94-3.08
Pd (0.1728, 0.1159, 0.7344)  6 Pm 2.94-3.08
Pd (0.1728, 0.3841, 0.2344)  6 Pm 2.94-3.08
Pd (0.8272, 0.6159, 0.7656)  6 Pm 2.94-3.08
Pd (0.8272, 0.8841, 0.2656)  6 Pm 2.94-3.08
Rh (0.5000, 0.0000, 0.5000)  6 Pm 2.76-2.81
Rh (0.5000, 0.5000, 0.0000)  6 Pm 2.76-2.81

---

Below is a geometry-optimized Pm8Pd2Rh3 structure, with properties calculated at the PBE-GGA level.

Results
- crystal system = monoclinic
- magnetization (μB/f.u.) = 0.00
- V (A^3/atom) = 30.1
- ΔE_f (eV/atom) = -0.521
- raw total energy (eV/atom) = -5.9402

abc: 8.4826 8.4826 6.8797
angles: 105.58 105.58 56.07
Closest atoms and distances in Å follow each position.
Atoms (fractional coordinates):
Pm (0.1114, 0.1114, 0.4007)  2 Rh 2.77, 1 Pd 2.95
Pm (0.1387, 0.6281, 0.0927)  2 Rh 2.82, 2 Pd 2.99
Pm (0.3719, 0.8613, 0.9073)  2 Rh 2.82, 2 Pd 2.99
Pm (0.3872, 0.3872, 0.5829)  3 Rh 2.83-2.85, 1 Pd 3.01
Pm (0.6128, 0.6128, 0.4171)  3 Rh 2.83-2.85, 1 Pd 3.01
Pm (0.6281, 0.1387, 0.0927)  2 Rh 2.82, 2 Pd 2.99
Pm (0.8613, 0.3719, 0.9073)  2 Rh 2.82, 2 Pd 2.99
Pm (0.8886, 0.8886, 0.5993)  2 Rh 2.77, 1 Pd 2.95
Pd (0.2456, 0.2456, 0.1639)  6 Pm 2.95-3.01
Pd (0.7544, 0.7544, 0.8361)  6 Pm 2.95-3.01
Rh (0.2424, 0.7576, 0.5000)  6 Pm 2.77-2.83
Rh (0.5000, 0.5000, 0.0000)  6 Pm 2.82-2.85
Rh (0.7576, 0.2424, 0.5000)  6 Pm 2.77-2.83

---

Below is a geometry-optimized PmSbPdRh structure, with properties calculated at the PBE-GGA level.

Results
- crystal system = cubic
- formation energy from raw total energies (eV per atom) = -0.694
- magnetization (μB/f.u.) = 0.00
- V (A^3/atom) = 20.0
- raw total energy (eV/atom) = -6.0487

abc: 4.8357 4.8357 4.8357
angles: 60.00 60.00 60.00
Closest atoms and distances in Å follow each position.
Atoms (fractional coordinates):
Pm (0.0000, 0.0000, 0.0000)  4 Rh 2.96, 4 Pd 2.96
Sb (0.5000, 0.5000, 0.5000)  4 Rh 2.96, 4 Pd 2.96
Pd (0.2500, 0.2500, 0.2500)  4 Sb 2.96, 4 Pm 2.96
Rh (0.7500, 0.7500, 0.7500)  4 Sb 2.96, 4 Pm 2.96

---

Below is a geometry-optimized PmSb2PdRh2 structure, with properties calculated at the PBE-GGA level.

Results
- crystal system = tetragonal
- formation energy from raw total energies (eV per atom) = -0.088
- magnetization (μB/f.u.) = 0.00
- V (A^3/atom) = 23.1
- raw total energy (eV/atom) = -5.5698

abc: 4.9891 4.9891 5.5707
angles: 90.00 90.00 90.00
Closest atoms and distances in Å follow each position.
Atoms (fractional coordinates):
Pm (0.0000, 0.0000, 0.0000)  2 Pd 2.79
Sb (0.0000, 0.5000, 0.5000)  2 Pd 2.49
Sb (0.5000, 0.0000, 0.5000)  2 Pd 2.49
Pd (0.0000, 0.0000, 0.5000)  4 Sb 2.49, 2 Pm 2.79
Rh (0.5000, 0.5000, 0.2389)  2 Rh 2.66-2.91, 4 Sb 2.89
Rh (0.5000, 0.5000, 0.7611)  2 Rh 2.66-2.91, 4 Sb 2.89

---

Below is a geometry-optimized Pm2Sb3PdRh4 structure, with properties calculated at the PBE-GGA level.

Results
- crystal system = tetragonal
- formation energy from raw total energies (eV per atom) = -0.748
- magnetization (μB/f.u.) = 0.00
- V (A^3/atom) = 20.7
- raw total energy (eV/atom) = -6.3952

abc: 4.2648 4.2648 11.3887
angles: 90.00 90.00 90.00
Closest atoms and distances in Å follow each position.
Atoms (fractional coordinates):
Pm (0.0000, 0.5000, 0.2313)  4 Rh 3.17, 6 Sb 3.39, 2 Pd 3.39
Pm (0.5000, 0.0000, 0.7687)  4 Rh 3.17, 6 Sb 3.39, 2 Pd 3.39
Sb (0.0000, 0.0000, 0.0000)  4 Rh 2.70, 4 Pd 3.02
Sb (0.0000, 0.5000, 0.6330)  5 Rh 2.53-2.62
Sb (0.5000, 0.0000, 0.3670)  5 Rh 2.53-2.62
Pd (0.5000, 0.5000, 0.0000)  4 Rh 2.70, 4 Sb 3.02
Rh (0.0000, 0.0000, 0.5000)  4 Sb 2.62
Rh (0.0000, 0.5000, 0.8549)  3 Sb 2.53-2.70, 2 Pd 2.70
Rh (0.5000, 0.0000, 0.1451)  3 Sb 2.53-2.70, 2 Pd 2.70
Rh (0.5000, 0.5000, 0.5000)  4 Sb 2.62

---

Below is a geometry-optimized PmSi3PdRh structure, with properties calculated at the PBE-GGA level.

Results
- crystal system = orthorhombic
- formation energy from raw total energies (eV per atom) = -0.514
- magnetization (μB/f.u.) = 0.00
- V (A^3/atom) = 19.8
- raw total energy (eV/atom) = -6.1080

abc: 7.5398 7.5398 5.7492
angles: 90.00 90.00 133.36
Closest atoms and distances in Å follow each position.
Atoms (fractional coordinates):
Pm (0.2130, 0.7870, 0.7500)  4 Si 2.99-3.02, 2 Pd 3.19
Pm (0.7870, 0.2130, 0.2500)  4 Si 2.99-3.02, 2 Pd 3.19
Si (0.2076, 0.2076, 0.0000)  2 Rh 2.40, 2 Pd 2.46, 1 Si 2.48
Si (0.2076, 0.2076, 0.5000)  2 Rh 2.40, 2 Pd 2.46, 1 Si 2.48
Si (0.2795, 0.7205, 0.2500)  1 Rh 2.26, 1 Pd 2.30
Si (0.7205, 0.2795, 0.7500)  1 Rh 2.26, 1 Pd 2.30
Si (0.7924, 0.7924, 0.0000)  2 Rh 2.40, 2 Pd 2.46, 1 Si 2.48
Si (0.7924, 0.7924, 0.5000)  2 Rh 2.40, 2 Pd 2.46, 1 Si 2.48
Pd (0.1131, 0.8869, 0.2500)  5 Si 2.30-2.46
Pd (0.8869, 0.1131, 0.7500)  5 Si 2.30-2.46
Rh (0.4426, 0.5574, 0.2500)  5 Si 2.26-2.40
Rh (0.5574, 0.4426, 0.7500)  5 Si 2.26-2.40

---

Below is a geometry-optimized Pm3Si6PdRh2 structure, with properties calculated at the PBE-GGA level.

Results
- crystal system = trigonal
- formation energy from raw total energies (eV per atom) = -0.489
- magnetization (μB/f.u.) = 0.00
- V (A^3/atom) = 19.3
- raw total energy (eV/atom) = -6.0465

abc: 5.3852 5.3852 9.2271
angles: 90.00 90.00 120.00
Closest atoms and distances in Å follow each position.
Atoms (fractional coordinates):
Pm (0.0000, 0.0000, 0.0000)  6 Si 2.99, 6 Rh 3.19
Pm (0.3333, 0.6667, 0.5824)  9 Si 2.99-3.22, 3 Pd 3.20
Pm (0.6667, 0.3333, 0.4176)  9 Si 2.99-3.22, 3 Pd 3.20
Si (0.1681, 0.3362, 0.2762)  1 Rh 2.39, 1 Pd 2.59, 2 Si 2.67
Si (0.1681, 0.8319, 0.2762)  1 Rh 2.39, 1 Pd 2.59, 2 Si 2.67
Si (0.3362, 0.1681, 0.7238)  1 Rh 2.39, 1 Pd 2.59, 2 Si 2.67
Si (0.6638, 0.8319, 0.2762)  1 Rh 2.39, 1 Pd 2.59, 2 Si 2.67
Si (0.8319, 0.1681, 0.7238)  1 Rh 2.39, 1 Pd 2.59, 2 Si 2.67
Si (0.8319, 0.6638, 0.7238)  1 Rh 2.39, 1 Pd 2.59, 2 Si 2.67
Pd (0.0000, 0.0000, 0.5000)  6 Si 2.59
Rh (0.3333, 0.6667, 0.0777)  3 Si 2.39
Rh (0.6667, 0.3333, 0.9223)  3 Si 2.39

---

Below is a geometry-optimized Pm2Si4Pd3Rh structure, with properties calculated at the PBE-GGA level.

Results
- crystal system = tetragonal
- formation energy from raw total energies (eV per atom) = -0.931
- magnetization (μB/f.u.) = 0.00
- V (A^3/atom) = 17.6
- raw total energy (eV/atom) = -6.3429

abc: 4.1938 4.1938 10.0248
angles: 90.00 90.00 90.00
Closest atoms and distances in Å follow each position.
Atoms (fractional coordinates):
Pm (0.0000, 0.5000, 0.2449)  6 Pd 3.20-3.31, 8 Si 3.22-3.23, 2 Rh 3.31
Pm (0.5000, 0.0000, 0.7551)  6 Pd 3.20-3.31, 8 Si 3.22-3.23, 2 Rh 3.31
Si (0.0000, 0.0000, 0.0000)  4 Pd 2.45
Si (0.0000, 0.5000, 0.6294)  3 Pd 2.45-2.47, 2 Rh 2.47
Si (0.5000, 0.0000, 0.3706)  3 Pd 2.45-2.47, 2 Rh 2.47
Si (0.5000, 0.5000, 0.0000)  4 Pd 2.45
Pd (0.0000, 0.5000, 0.8740)  5 Si 2.45
Pd (0.5000, 0.0000, 0.1260)  5 Si 2.45
Pd (0.5000, 0.5000, 0.5000)  4 Si 2.47
Rh (0.0000, 0.0000, 0.5000)  4 Si 2.47

---

Below is a geometry-optimized Pm2Sn4Pd3Rh structure, with properties calculated at the PBE-GGA level.

Results
- crystal system = tetragonal
- magnetization (μB/f.u.) = 0.00
- V (A^3/atom) = 22.2
- ΔE_f (eV/atom) = -0.732
- raw total energy (eV/atom) = -5.5763

abc: 4.5040 4.5040 10.9624
angles: 90.00 90.00 90.00
Closest atoms and distances in Å follow each position.
Atoms (fractional coordinates):
Pm (0.0000, 0.5000, 0.2411)  8 Sn 3.42-3.62, 6 Pd 3.46-3.47, 2 Rh 3.47
Pm (0.5000, 0.0000, 0.7589)  8 Sn 3.42-3.62, 6 Pd 3.46-3.47, 2 Rh 3.47
Sn (0.0000, 0.0000, 0.5000)  4 Pd 2.70
Sn (0.0000, 0.5000, 0.8722)  3 Pd 2.59-2.65, 2 Rh 2.65
Sn (0.5000, 0.0000, 0.1278)  3 Pd 2.59-2.65, 2 Rh 2.65
Sn (0.5000, 0.5000, 0.5000)  4 Pd 2.70
Pd (0.0000, 0.0000, 0.0000)  4 Sn 2.65
Pd (0.0000, 0.5000, 0.6359)  5 Sn 2.59-2.70
Pd (0.5000, 0.0000, 0.3641)  5 Sn 2.59-2.70
Rh (0.5000, 0.5000, 0.0000)  4 Sn 2.65

---

Below is a geometry-optimized PmSnPdRh structure, with properties calculated at the PBE-GGA level.

Results
- crystal system = cubic
- magnetization (μB/f.u.) = 0.00
- V (A^3/atom) = 19.9
- ΔE_f (eV/atom) = -0.717
- raw total energy (eV/atom) = -6.0414

abc: 4.8269 4.8269 4.8269
angles: 60.00 60.00 60.00
Closest atoms and distances in Å follow each position.
Atoms (fractional coordinates):
Pm (0.0000, 0.0000, 0.0000)  4 Rh 2.96, 4 Pd 2.96
Sn (0.5000, 0.5000, 0.5000)  4 Rh 2.96, 4 Pd 2.96
Pd (0.2500, 0.2500, 0.2500)  4 Sn 2.96, 4 Pm 2.96
Rh (0.7500, 0.7500, 0.7500)  4 Sn 2.96, 4 Pm 2.96

---

Below is a geometry-optimized TbPmPdRh structure, with properties calculated at the PBE-GGA level.

Results
- crystal system = orthorhombic
- magnetization (μB/f.u.) = 0.00
- V (A^3/atom) = 22.6
- ΔE_f (eV/atom) = -0.820
- raw total energy (eV/atom) = -6.3017

abc: 4.4935 5.6615 5.6615
angles: 38.95 90.00 90.00
Closest atoms and distances in Å follow each position.
Atoms (fractional coordinates):
Tb (0.0000, 0.0000, 0.0000)  4 Rh 2.97, 3 Pd 2.99-3.01
Pm (0.5000, 0.7225, 0.7225)  3 Rh 2.86-3.12, 4 Pd 3.00
Pd (0.0000, 0.2804, 0.2804)  2 Rh 2.92, 3 Tb 2.99-3.01, 4 Pm 3.00
Rh (0.5000, 0.4548, 0.4548)  3 Pm 2.86-3.12, 2 Pd 2.92, 4 Tb 2.97

---

Below is a geometry-optimized TbPmPdRh structure, with properties calculated at the PBE-GGA level.

Results
- crystal system = cubic
- magnetization (μB/f.u.) = 0.00
- V (A^3/atom) = 21.8
- ΔE_f (eV/atom) = -0.791
- raw total energy (eV/atom) = -6.2723

abc: 4.9771 4.9771 4.9771
angles: 60.00 60.00 60.00
Closest atoms and distances in Å follow each position.
Atoms (fractional coordinates):
Tb (0.0000, 0.0000, 0.0000)  4 Pd 3.05, 4 Rh 3.05
Pm (0.5000, 0.5000, 0.5000)  4 Rh 3.05, 4 Pd 3.05
Pd (0.7500, 0.7500, 0.7500)  4 Tb 3.05, 4 Pm 3.05
Rh (0.2500, 0.2500, 0.2500)  4 Tb 3.05, 4 Pm 3.05